Here is crystalline Hf2Ge2Pt at its relaxed geometry from the Alexandria database. Energies are from GGA-PBE.

abc: 6.587 6.587 4.068
angles: 90.00 90.00 90.00
Sites, in units of the cell vectors:
Ge (0.367, 0.867, 0.000)
Hf (0.172, 0.672, 0.500)
Ge (0.633, 0.133, 0.000)
Hf (0.672, 0.828, 0.500)
Ge (0.133, 0.367, 0.000)
Hf (0.328, 0.172, 0.500)
Pt (0.500, 0.500, 0.000)
Pt (0.000, 0.000, 0.000)
Ge (0.867, 0.633, 0.000)
Hf (0.828, 0.328, 0.500)

calculated density	13.12	g cm⁻³
energy above the most stable polymorph in this dataset	0.0000	eV per atom
calculated formation energy	-0.72	eV per atom
space-group type	No. 127
total DFT energy (no corrections)	-7.76	eV per atom


Here is crystalline HfGePt3 at its relaxed geometry from the Alexandria database. Energies are from GGA-PBE.

abc: 4.945 4.945 4.945
angles: 90.00 90.00 90.00
Sites, in units of the cell vectors:
Hf (0.000, 0.000, 0.000)
Pt (0.000, 0.500, 0.000)
Ge (0.500, 0.500, 0.500)
Pt (0.000, 0.000, 0.500)
Pt (0.500, 0.000, 0.000)

calculated density	11.49	g cm⁻³
energy above the most stable polymorph in this dataset	0.5253	eV per atom
calculated formation energy	0.64	eV per atom
space-group type	No. 221
total DFT energy (no corrections)	-5.90	eV per atom


Here is crystalline HfGePt2 at its relaxed geometry from the Alexandria database. Energies are from GGA-PBE.

abc: 5.690 5.690 7.199
angles: 66.72 66.72 90.00
Sites, in units of the cell vectors:
Pt (0.153, 0.625, 0.250)
Pt (0.597, 0.125, 0.250)
Hf (0.000, 0.000, 0.000)
Ge (0.500, 0.500, 0.000)
Pt (0.375, 0.403, 0.750)
Pt (0.875, 0.847, 0.750)
Ge (0.250, 0.750, 0.500)
Hf (0.750, 0.250, 0.500)

calculated density	11.02	g cm⁻³
calculated formation energy	-0.36	eV per atom
space-group type	No. 122
total DFT energy (no corrections)	-7.02	eV per atom


Here is crystalline Hf2GePt9 at its relaxed geometry from the Alexandria database. Energies are from GGA-PBE.

abc: 4.015 4.015 12.037
angles: 90.00 90.00 90.00
Sites, in units of the cell vectors:
Ge (0.000, 0.000, 0.000)
Pt (0.500, 0.500, 0.000)
Hf (0.000, 0.000, 0.332)
Pt (0.000, 0.500, 0.500)
Pt (0.500, 0.500, 0.332)
Pt (0.500, 0.500, 0.668)
Pt (0.000, 0.500, 0.833)
Pt (0.500, 0.000, 0.500)
Hf (0.000, 0.000, 0.668)
Pt (0.000, 0.500, 0.167)
Pt (0.500, 0.000, 0.167)
Pt (0.500, 0.000, 0.833)

calculated density	18.71	g cm⁻³
calculated formation energy	-0.83	eV per atom
space-group type	No. 123
total DFT energy (no corrections)	-7.41	eV per atom


Here is crystalline HfRe2GePt at its relaxed geometry from the Alexandria database. Energies are from GGA-PBE.

abc: 4.846 4.515 4.846
angles: 90.00 90.00 90.00
Sites, in units of the cell vectors:
Ge (0.000, 0.500, 0.000)
Re (0.500, 0.000, 0.000)
Hf (0.500, 0.500, 0.500)
Re (0.000, 0.000, 0.500)
Pt (0.000, 0.000, 0.000)

calculated density	12.82	g cm⁻³
calculated formation energy	1.52	eV per atom
space-group type	No. 123
total DFT energy (no corrections)	-7.58	eV per atom


Here is crystalline HfGePt2Rh at its relaxed geometry from the Alexandria database. Energies are from GGA-PBE.

abc: 4.969 4.969 4.732
angles: 90.00 90.00 90.00
Sites, in units of the cell vectors:
Hf (0.000, 0.000, 0.000)
Ge (0.500, 0.500, 0.500)
Pt (0.000, 0.500, 0.000)
Pt (0.500, 0.000, 0.000)
Rh (0.000, 0.000, 0.500)

calculated density	10.58	g cm⁻³
calculated formation energy	0.69	eV per atom
space-group type	No. 123
total DFT energy (no corrections)	-6.11	eV per atom